Entry 1:
## AcPa2Ge (PBE-GGA)

Data for a geometry-optimized AcPa2Ge structure.

a b c (Å): 4.570 4.570 5.012
angles (deg): 90.00 90.00 90.00
Space group P4/mmm (No. 123)
One atom of each set of equivalent atoms:
Ac: 0.000 0.000 0.000 x1
Pa: 0.000 0.500 0.500 x2
Ge: 0.500 0.500 0.000 x1

Results
E above lowest polymorph = 0.0 meV/atom
Fermi-level density of states = 1.9211 states/eV per atom
Total DFT energy (no corrections) = -27.4 eV per formula unit

Entry 2:
## NdYSe2Cl (PBE-GGA)

Data for a geometry-optimized NdYSe2Cl structure.

a b c (Å): 4.180 4.180 14.104
angles (deg): 90.00 90.00 90.00
Space group P4/nmm (No. 129, origin choice 2)
One atom of each set of equivalent atoms:
Nd: 0.250 0.250 0.146 x2
Y: 0.250 0.250 0.590 x2
Se: 0.250 0.250 0.383 x2
Se: 0.250 0.250 0.795 x2
Cl: 0.250 0.750 0.000 x2

Results
Fermi-level density of states = 0.3374 states/eV per atom
E_form (uncorrected) = -9.43 eV/f.u.
Total DFT energy (no corrections) = -29.5 eV per formula unit

Entry 3:
## Eu2BiSbO6 (PBE-GGA)

Data for a geometry-optimized Eu2BiSbO6 structure.

a b c (Å): 8.550 8.550 8.550
angles (deg): 90.00 90.00 90.00
Space group Fm-3m (No. 225)
One atom of each set of equivalent atoms:
Eu: 0.250 0.250 0.250 x8
Bi: 0.000 0.000 0.000 x4
Sb: 0.000 0.000 0.500 x4
O: 0.000 0.000 0.266 x24

Results
Fermi-level density of states = 1.9147 states/eV per atom
E_form (uncorrected) = -18.92 eV/f.u.
Total DFT energy (no corrections) = -77.2 eV per formula unit

Entry 4:
## HfZr2B6 (PBE-GGA)

Data for a geometry-optimized HfZr2B6 structure.

a b c (Å): 5.4788 5.4788 3.5423
angles (deg): 90.00 90.00 120.00
Space group P6/mmm (No. 191)
One atom of each set of equivalent atoms:
Hf: 0.0000 0.0000 0.0000 x1
Zr: 0.3333 0.6667 0.0000 x2
B: 0.0000 0.3319 0.5000 x6

Results
Fermi-level density of states = 0.1779 states/eV per atom
Total DFT energy (no corrections) = -76.1 eV per formula unit

Entry 5:
## HfScGa (PBE-GGA)

Data for a geometry-optimized HfScGa structure.

a b c (Å): 4.8627 4.8627 2.8908
angles (deg): 90.00 90.00 120.00
Space group P3m1 (No. 156)
One atom of each set of equivalent atoms:
Hf: 0.0000 0.0000 0.0000 x1
Sc: 0.6667 0.3333 0.9969 x1
Ga: 0.3333 0.6667 0.4978 x1

Results
E above lowest polymorph = 393.2 meV/atom
Fermi-level density of states = 1.3040 states/eV per atom
Total DFT energy (no corrections) = -19.2 eV per formula unit

Entry 6:
## ScFeH (PBE-GGA)

Data for a geometry-optimized ScFeH structure.

a b c (Å): 6.251 3.584 7.072
angles (deg): 90.00 106.99 90.00
Space group C2/m (No. 12)
One atom of each set of equivalent atoms:
Sc: 0.097 0.000 0.295 x4
Fe: 0.163 0.500 0.992 x4
H: 0.200 0.000 0.601 x4

Results
Fermi-level density of states = 0.7557 states/eV per atom
Total DFT energy (no corrections) = -18.9 eV per formula unit

Entry 7:
## BaCrCo2 (PBE-GGA)

Data for a geometry-optimized BaCrCo2 structure.

a b c (Å): 4.673 3.277 5.209
angles (deg): 90.00 111.00 90.00
Space group P2/m (No. 10)
One atom of each set of equivalent atoms:
Ba: 0.000 0.000 0.000 x1
Cr: 0.000 0.500 0.500 x1
Co: 0.500 0.000 0.500 x1
Co: 0.500 0.500 0.000 x1

Results
E above lowest polymorph = 777.4 meV/atom
Fermi-level density of states = 1.2822 states/eV per atom
Total DFT energy (no corrections) = -21.0 eV per formula unit

Entry 8:
## Cs3CdTe2 (PBE-GGA)

Data for a geometry-optimized Cs3CdTe2 structure.

a b c (Å): 8.794 16.586 9.749
angles (deg): 90.00 90.00 90.00
Space group Ibam (No. 72)
One atom of each set of equivalent atoms:
Cs: 0.000 0.000 0.250 x4
Cs: 0.000 0.268 0.250 x8
Cd: 0.000 0.500 0.000 x4
Te: 0.245 0.123 0.000 x8

Results
Fermi-level density of states = 0.7502 states/eV per atom
E_form (uncorrected) = -4.21 eV/f.u.
Total DFT energy (no corrections) = -14.0 eV per formula unit

Repeat the fifth record exactly.
## HfScGa (PBE-GGA)

Data for a geometry-optimized HfScGa structure.

a b c (Å): 4.8627 4.8627 2.8908
angles (deg): 90.00 90.00 120.00
Space group P3m1 (No. 156)
One atom of each set of equivalent atoms:
Hf: 0.0000 0.0000 0.0000 x1
Sc: 0.6667 0.3333 0.9969 x1
Ga: 0.3333 0.6667 0.4978 x1

Results
E above lowest polymorph = 393.2 meV/atom
Fermi-level density of states = 1.3040 states/eV per atom
Total DFT energy (no corrections) = -19.2 eV per formula unit

What did the third record say?
## Eu2BiSbO6 (PBE-GGA)

Data for a geometry-optimized Eu2BiSbO6 structure.

a b c (Å): 8.550 8.550 8.550
angles (deg): 90.00 90.00 90.00
Space group Fm-3m (No. 225)
One atom of each set of equivalent atoms:
Eu: 0.250 0.250 0.250 x8
Bi: 0.000 0.000 0.000 x4
Sb: 0.000 0.000 0.500 x4
O: 0.000 0.000 0.266 x24

Results
Fermi-level density of states = 1.9147 states/eV per atom
E_form (uncorrected) = -18.92 eV/f.u.
Total DFT energy (no corrections) = -77.2 eV per formula unit